Record 1
An optimized crystal structure of BeTlPb, computed with PBE. Values from VASP.

Geometry as Quantum ESPRESSO input:
```
&SYSTEM
  ibrav = 0, nat = 12, ntyp = 3
/
ATOMIC_SPECIES
Tl 204.38 Tl.upf
Pb 207.20 Pb.upf
Be 9.01 Be.upf
ATOMIC_POSITIONS angstrom
Tl 7.396 0.000 1.356
Tl 3.960 0.000 5.146
Tl 6.858 1.898 4.560
Tl 4.498 1.898 1.942
Pb 10.123 1.898 3.015
Pb 1.233 1.898 3.487
Pb 1.771 0.000 0.282
Pb 9.585 0.000 6.220
Be 11.525 1.898 5.424
Be 12.063 0.000 2.219
Be -0.169 1.898 1.078
Be -0.707 0.000 4.283
CELL_PARAMETERS angstrom
12.432 0.000 0.093
0.000 3.795 0.000
-1.076 0.000 6.409
```

Values from the calculation:
Polymorph energy (0 for the lowest one) in meV/atom: 2
Space-group type: C2/m

Record 2
An optimized crystal structure of BeTlPb2, computed with PBE. Values from VASP.

Geometry as Quantum ESPRESSO input:
```
&SYSTEM
  ibrav = 0, nat = 4, ntyp = 3
/
ATOMIC_SPECIES
Pb 207.20 Pb.upf
Be 9.01 Be.upf
Tl 204.38 Tl.upf
ATOMIC_POSITIONS angstrom
Pb 0.000 0.000 0.000
Pb 1.853 -2.891 -0.017
Be -0.400 -2.538 2.278
Tl -0.812 -5.056 -0.019
CELL_PARAMETERS angstrom
-3.065 -4.702 2.277
1.440 -5.409 -2.315
3.078 4.683 2.299
```

Values from the calculation:
Polymorph energy (0 for the lowest one) in meV/atom: 213
Space-group type: I-4m2

Record 3
An optimized crystal structure of BeTlPb2, computed with PBE. Values from VASP.

Geometry as Quantum ESPRESSO input:
```
&SYSTEM
  ibrav = 0, nat = 8, ntyp = 3
/
ATOMIC_SPECIES
Tl 204.38 Tl.upf
Pb 207.20 Pb.upf
Be 9.01 Be.upf
ATOMIC_POSITIONS angstrom
Tl -7.194 -1.814 0.362
Tl 0.000 0.000 0.000
Pb -9.945 -5.222 0.290
Pb -3.364 -3.766 -0.481
Pb -7.165 -4.544 1.889
Pb -4.330 -0.654 -0.123
Be -5.208 -5.279 0.426
Be -2.985 -1.748 -1.996
CELL_PARAMETERS angstrom
-4.971 1.717 -2.060
-1.000 -5.213 -1.931
-6.431 -3.597 4.779
```

Values from the calculation:
Polymorph energy (0 for the lowest one) in meV/atom: 162
Space-group type: I-42d

Record 4
An optimized crystal structure of BeTlPb2, computed with PBE. Values from VASP.

Geometry as Quantum ESPRESSO input:
```
&SYSTEM
  ibrav = 0, nat = 4, ntyp = 3
/
ATOMIC_SPECIES
Pb 207.20 Pb.upf
Be 9.01 Be.upf
Tl 204.38 Tl.upf
ATOMIC_POSITIONS angstrom
Pb 0.000 2.487 2.487
Pb 0.000 0.000 0.000
Be 2.158 0.000 2.487
Tl 2.158 2.487 0.000
CELL_PARAMETERS angstrom
4.315 0.000 0.000
0.000 4.974 0.000
0.000 0.000 4.974
```

Values from the calculation:
Polymorph energy (0 for the lowest one) in meV/atom: 205
Space-group type: P4/mmm

Record 5
An optimized crystal structure of Tm4BePb2, computed with PBE. Values from VASP.

Geometry as Quantum ESPRESSO input:
```
&SYSTEM
  ibrav = 0, nat = 7, ntyp = 3
/
ATOMIC_SPECIES
Tm 168.93 Tm.upf
Pb 207.20 Pb.upf
Be 9.01 Be.upf
ATOMIC_POSITIONS angstrom
Tm 0.317 -0.127 2.721
Tm -2.202 1.750 5.715
Tm -2.410 -0.423 0.261
Tm -0.408 2.421 0.161
Pb 0.676 -0.271 5.809
Pb -2.561 1.895 2.627
Be 0.000 0.000 0.000
CELL_PARAMETERS angstrom
-0.816 4.842 0.321
-4.819 -0.847 0.521
3.751 -2.372 7.593
```

Values from the calculation:
Space-group type: I4/mmm

Record 6
An optimized crystal structure of Tm3BePb, computed with PBE. Values from VASP.

Geometry as Quantum ESPRESSO input:
```
&SYSTEM
  ibrav = 0, nat = 5, ntyp = 3
/
ATOMIC_SPECIES
Be 9.01 Be.upf
Tm 168.93 Tm.upf
Pb 207.20 Pb.upf
ATOMIC_POSITIONS angstrom
Be 0.000 0.000 0.000
Tm 2.553 0.000 0.000
Tm 0.000 2.553 0.000
Tm 0.000 0.000 2.553
Pb 2.553 2.553 2.553
CELL_PARAMETERS angstrom
5.107 0.000 0.000
0.000 5.107 0.000
0.000 0.000 5.107
```

Values from the calculation:
Space-group type: Pm-3m

Record 7
An optimized crystal structure of Be2V2Pb, computed with PBE. Values from VASP.

Geometry as Quantum ESPRESSO input:
```
&SYSTEM
  ibrav = 0, nat = 10, ntyp = 3
/
ATOMIC_SPECIES
Be 9.01 Be.upf
Pb 207.20 Pb.upf
V 50.94 V.upf
ATOMIC_POSITIONS angstrom
Be 1.685 -1.781 -0.610
Be 0.660 -5.463 -3.915
Be 3.495 -4.562 -1.936
Be -1.150 -2.682 -2.590
Pb 1.173 -3.622 -2.263
Pb 0.000 0.000 0.000
V -0.652 -2.810 -0.173
V 1.845 -6.396 -1.808
V 2.403 -3.949 0.332
V -1.210 -5.257 -2.314
CELL_PARAMETERS angstrom
-2.828 -3.732 -4.160
5.173 -3.512 -0.365
-1.152 -1.962 2.544
```

Values from the calculation:
Space-group type: P4/mbm

Record 8
An optimized crystal structure of Be2PbW, computed with PBE. Values from VASP.

Geometry as Quantum ESPRESSO input:
```
&SYSTEM
  ibrav = 0, nat = 4, ntyp = 3
/
ATOMIC_SPECIES
Pb 207.20 Pb.upf
Be 9.01 Be.upf
W 183.84 W.upf
ATOMIC_POSITIONS angstrom
Pb 2.194 0.872 1.128
Be 4.228 1.681 3.018
Be 0.969 0.385 3.738
W 6.581 2.616 3.383
CELL_PARAMETERS angstrom
4.612 -0.002 0.005
3.352 3.169 0.005
0.810 0.322 4.501
```

Values from the calculation:
Space-group type: C2/m

Record 9
An optimized crystal structure of Be3PbW, computed with PBE. Values from VASP.

Geometry as Quantum ESPRESSO input:
```
&SYSTEM
  ibrav = 0, nat = 5, ntyp = 3
/
ATOMIC_SPECIES
Be 9.01 Be.upf
W 183.84 W.upf
Pb 207.20 Pb.upf
ATOMIC_POSITIONS angstrom
Be 0.000 2.242 0.000
Be 2.242 0.000 0.000
Be 0.000 0.000 2.242
W 2.242 2.242 2.242
Pb 0.000 0.000 0.000
CELL_PARAMETERS angstrom
4.483 0.000 0.000
0.000 4.483 0.000
0.000 0.000 4.483
```

Values from the calculation:
Polymorph energy (0 for the lowest one) in meV/atom: 907
Space-group type: Pm-3m

Record 10
An optimized crystal structure of Be2PbW, computed with PBE. Values from VASP.

Geometry as Quantum ESPRESSO input:
```
&SYSTEM
  ibrav = 0, nat = 4, ntyp = 3
/
ATOMIC_SPECIES
Be 9.01 Be.upf
Pb 207.20 Pb.upf
W 183.84 W.upf
ATOMIC_POSITIONS angstrom
Be 2.784 -1.550 0.932
Be 4.461 -2.484 1.494
Pb 0.738 -2.392 -1.051
W 3.153 -3.737 -0.243
CELL_PARAMETERS angstrom
-1.632 -2.808 0.205
0.693 -0.631 -3.117
4.830 -2.690 1.618
```

Values from the calculation:
Space-group type: P4/mmm

Record 11
An optimized crystal structure of Be2PbW, computed with PBE. Values from VASP.

Geometry as Quantum ESPRESSO input:
```
&SYSTEM
  ibrav = 0, nat = 4, ntyp = 3
/
ATOMIC_SPECIES
Pb 207.20 Pb.upf
Be 9.01 Be.upf
W 183.84 W.upf
ATOMIC_POSITIONS angstrom
Pb -0.497 3.993 3.727
Be 0.000 0.000 0.000
Be -0.248 1.996 1.864
W -0.745 5.989 5.591
CELL_PARAMETERS angstrom
-2.683 3.224 1.569
-0.064 0.925 4.381
1.753 3.837 1.504
```

Values from the calculation:
Space-group type: F-43m

Record 12
An optimized crystal structure of BePbW2, computed with PBE. Values from VASP.

Geometry as Quantum ESPRESSO input:
```
&SYSTEM
  ibrav = 0, nat = 4, ntyp = 3
/
ATOMIC_SPECIES
Be 9.01 Be.upf
Pb 207.20 Pb.upf
W 183.84 W.upf
ATOMIC_POSITIONS angstrom
Be 19.879 3.235 1.901
Pb 6.626 1.078 0.634
W 12.941 2.106 1.238
W 0.312 0.051 0.030
CELL_PARAMETERS angstrom
9.151 -0.004 -0.002
8.677 2.905 -0.002
8.677 1.412 2.539
```

Values from the calculation:
Polymorph energy (0 for the lowest one) in meV/atom: 534
Space-group type: R-3m

Record 13
An optimized crystal structure of BePbW2, computed with PBE. Values from VASP.

Geometry as Quantum ESPRESSO input:
```
&SYSTEM
  ibrav = 0, nat = 4, ntyp = 3
/
ATOMIC_SPECIES
W 183.84 W.upf
Be 9.01 Be.upf
Pb 207.20 Pb.upf
ATOMIC_POSITIONS angstrom
W -5.235 -0.939 -6.017
W -3.892 3.258 -1.903
Be -3.899 -0.134 -4.114
Pb -1.841 -0.256 -2.068
CELL_PARAMETERS angstrom
-0.419 -1.760 -4.032
-2.457 -3.042 -2.059
-4.221 3.653 -1.986
```

Values from the calculation:
Polymorph energy (0 for the lowest one) in meV/atom: 346
Space-group type: Cm

Record 14
An optimized crystal structure of BePbW2, computed with PBE. Values from VASP.

Geometry as Quantum ESPRESSO input:
```
&SYSTEM
  ibrav = 0, nat = 4, ntyp = 3
/
ATOMIC_SPECIES
W 183.84 W.upf
Pb 207.20 Pb.upf
Be 9.01 Be.upf
ATOMIC_POSITIONS angstrom
W 0.000 1.837 2.487
W 0.000 2.845 0.221
Pb 2.205 2.664 4.045
Be 2.205 0.888 1.348
CELL_PARAMETERS angstrom
4.410 0.000 0.000
0.000 2.907 0.012
0.000 0.645 5.381
```

Values from the calculation:
Polymorph energy (0 for the lowest one) in meV/atom: 392
Space-group type: P2/m

Record 15
An optimized crystal structure of BePbW3, computed with PBE. Values from VASP.

Geometry as Quantum ESPRESSO input:
```
&SYSTEM
  ibrav = 0, nat = 5, ntyp = 3
/
ATOMIC_SPECIES
W 183.84 W.upf
Be 9.01 Be.upf
Pb 207.20 Pb.upf
ATOMIC_POSITIONS angstrom
W -2.381 -0.664 0.297
W -0.671 2.397 -0.022
W -0.280 -0.101 -2.471
Be -3.332 1.632 -2.197
Pb 0.000 0.000 0.000
CELL_PARAMETERS angstrom
-1.342 4.794 -0.045
-0.560 -0.203 -4.943
-4.761 -1.328 0.594
```

Values from the calculation:
Polymorph energy (0 for the lowest one) in meV/atom: 2431
Space-group type: Pm-3m

Record 16
An optimized crystal structure of Be4PbW, computed with PBE. Values from VASP.

Geometry as Quantum ESPRESSO input:
```
&SYSTEM
  ibrav = 0, nat = 6, ntyp = 3
/
ATOMIC_SPECIES
Pb 207.20 Pb.upf
Be 9.01 Be.upf
W 183.84 W.upf
ATOMIC_POSITIONS angstrom
Pb 3.351 6.161 5.054
Be 2.922 3.466 4.561
Be 1.124 5.021 3.858
Be 3.244 4.918 2.577
Be 1.645 3.025 2.482
W 0.000 0.000 0.000
CELL_PARAMETERS angstrom
2.424 0.836 3.946
3.035 3.592 0.181
-0.990 3.787 2.612
```

Values from the calculation:
Space-group type: F-43m

Record 17
An optimized crystal structure of BePbW, computed with PBE. Values from VASP.

Geometry as Quantum ESPRESSO input:
```
&SYSTEM
  ibrav = 0, nat = 3, ntyp = 3
/
ATOMIC_SPECIES
Pb 207.20 Pb.upf
W 183.84 W.upf
Be 9.01 Be.upf
ATOMIC_POSITIONS angstrom
Pb 1.512 0.873 2.245
W 0.000 1.746 4.831
Be 0.000 0.000 6.632
CELL_PARAMETERS angstrom
3.024 0.000 0.000
-1.512 2.619 0.000
0.000 0.000 6.854
```

Values from the calculation:
Polymorph energy (0 for the lowest one) in meV/atom: 177
Space-group type: P3m1

Record 18
An optimized crystal structure of BePbW, computed with PBE. Values from VASP.

Geometry as Quantum ESPRESSO input:
```
&SYSTEM
  ibrav = 0, nat = 3, ntyp = 3
/
ATOMIC_SPECIES
Pb 207.20 Pb.upf
Be 9.01 Be.upf
W 183.84 W.upf
ATOMIC_POSITIONS angstrom
Pb 0.000 0.000 0.000
Be -2.526 0.399 0.422
W -5.051 0.798 0.844
CELL_PARAMETERS angstrom
-3.842 -0.004 -1.773
-3.366 -1.239 2.246
-2.894 2.838 1.215
```

Values from the calculation:
Polymorph energy (0 for the lowest one) in meV/atom: 449
Space-group type: F-43m

Record 19
An optimized crystal structure of BePbW2, computed with PBE. Values from VASP.

Geometry as Quantum ESPRESSO input:
```
&SYSTEM
  ibrav = 0, nat = 4, ntyp = 3
/
ATOMIC_SPECIES
W 183.84 W.upf
Pb 207.20 Pb.upf
Be 9.01 Be.upf
ATOMIC_POSITIONS angstrom
W 1.423 2.301 0.000
W 0.000 0.000 0.000
Pb -1.154 2.305 1.431
Be 2.578 -0.003 1.431
CELL_PARAMETERS angstrom
5.155 -0.007 0.000
-2.308 4.610 0.000
0.000 0.000 2.861
```

Values from the calculation:
Polymorph energy (0 for the lowest one) in meV/atom: 659
Space-group type: Cmmm

Record 20
An optimized crystal structure of BePbW2, computed with PBE. Values from VASP.

Geometry as Quantum ESPRESSO input:
```
&SYSTEM
  ibrav = 0, nat = 8, ntyp = 3
/
ATOMIC_SPECIES
W 183.84 W.upf
Be 9.01 Be.upf
Pb 207.20 Pb.upf
ATOMIC_POSITIONS angstrom
W 1.097 2.883 2.449
W 4.805 4.670 7.346
W 2.748 0.961 2.449
W 2.883 3.019 7.346
Be 1.922 3.844 4.897
Be 1.922 1.922 0.000
Pb 3.844 1.922 4.897
Pb 0.000 0.000 0.000
CELL_PARAMETERS angstrom
3.844 0.000 0.000
0.000 3.844 0.000
1.922 1.922 9.794
```

Values from the calculation:
Polymorph energy (0 for the lowest one) in meV/atom: 575
Space-group type: I-42d

Formation energy: 23.2, 51.5, 46.6, 50.8, -14.4, -5.2, 27.1, 66.2, 205.1, 49.4, 123.1, 96.0, 77.9, 82.3, 341.4, 47.5, 87.2, 113.5, 108.1, 99.9 (kJ per mole of atoms)
E_tot: -36.31, -11.37, -23.16, -11.40, -30.08, -21.12, -55.98, -21.37, -17.21, -22.06, -19.01, -29.36, -30.11, -29.93, -28.60, -28.61, -17.68, -16.86, -28.86, -58.39 (eV/cell)
N(E_F): 0.87, 1.90, 2.48, 1.68, 5.30, 4.56, 4.90, 1.95, 3.97, 2.47, 2.62, 3.22, 2.69, 2.04, 6.75, 5.95, 1.79, 1.74, 3.38, 3.77 (states/eV/f.u.)